# 1
Material: Ca2CrPt
Method: DFT, PBE
State: relaxed

The structure in POSCAR format:
```
Ca2CrPt
1.0
3.5193 0.0000 0.0000
0.0000 3.5193 0.0000
0.0000 0.0000 8.2432
Ca Cr Pt
2 1 1
Direct
0.0000 0.0000 0.0000 Ca
0.5000 0.5000 0.3893 Ca
0.0000 0.0000 0.6476 Cr
0.5000 0.5000 0.7587 Pt
```

Values from the calculation:
Its space group is P4mm, No. 99. As for the crystal system: tetragonal. The offset from the most stable computed form comes out at 148.8 meV per atom. As for the formation energy: -77 meV per atom.


# 2
Material: K2NaH6Ir
Method: DFT, PBE
State: relaxed

The structure in POSCAR format:
```
K2NaH6Ir
1.0
0.0000 4.0171 4.0171
4.0171 0.0000 4.0171
4.0171 4.0171 0.0000
K Na H Ir
2 1 6 1
Direct
0.2500 0.2500 0.2500 K
0.7500 0.7500 0.7500 K
0.0000 0.0000 0.0000 Na
0.2890 0.2890 0.7110 H
0.2890 0.7110 0.2890 H
0.2890 0.7110 0.7110 H
0.7110 0.2890 0.2890 H
0.7110 0.2890 0.7110 H
0.7110 0.7110 0.2890 H
0.5000 0.5000 0.5000 Ir
```

Values from the calculation:
The final energy comes out at -0.2665 Ry/atom. Its space group is Fm-3m, No. 225. As for the crystal system: cubic.


# 3
Material: La4Pr3Er2
Method: DFT, PBE
State: relaxed

The structure in POSCAR format:
```
La4Pr3Er2
1.0
7.8190 -2.6180 0.0000
7.8190 2.6180 0.0000
-2.5905 0.0000 7.7672
La Pr Er
4 3 2
Direct
0.0551 0.0551 0.3294 La
0.2770 0.2770 0.6707 La
0.7230 0.7230 0.3293 La
0.9449 0.9449 0.6706 La
0.3874 0.3874 0.3298 Pr
0.5000 0.5000 0.0000 Pr
0.6126 0.6126 0.6702 Pr
0.1683 0.1683 0.9991 Er
0.8317 0.8317 0.0009 Er
```

Values from the calculation:
Its space group is C2/m, No. 12. As for the crystal system: monoclinic. The offset from the most stable computed form comes out at 0.0 meV per atom. As for the formation energy: 22 meV per atom.


# 4
Material: RbNbTe3
Method: DFT, PBE
State: relaxed

The structure in POSCAR format:
```
RbNbTe3
1.0
7.3263 -7.6094 0.0000
7.3263 7.6094 0.0000
-0.4534 0.0000 6.5534
Rb Nb Te
4 4 12
Direct
0.0821 0.2468 0.0517 Rb
0.2468 0.0821 0.5517 Rb
0.7532 0.9179 0.4483 Rb
0.9179 0.7532 0.9483 Rb
0.2739 0.7261 0.2500 Nb
0.4326 0.5674 0.7500 Nb
0.5674 0.4326 0.2500 Nb
0.7261 0.2739 0.7500 Nb
0.0664 0.7337 0.4600 Te
0.1959 0.5674 0.9014 Te
0.2663 0.9336 0.0400 Te
0.3141 0.4619 0.3834 Te
0.4326 0.8041 0.5986 Te
0.4619 0.3141 0.8834 Te
0.5381 0.6859 0.1166 Te
0.5674 0.1959 0.4014 Te
0.6859 0.5381 0.6166 Te
0.7337 0.0664 0.9600 Te
0.8041 0.4326 0.0986 Te
0.9336 0.2663 0.5400 Te
```

Values from the calculation:
Its space group is C2/c, No. 15. As for the crystal system: monoclinic. The offset from the most stable computed form comes out at 60.0 meV per atom. As for the raw formation energy: -250 kJ/mol of formula units.


# 5
Material: Cd2InAg5Au
Method: DFT, PBE
State: relaxed

The structure in POSCAR format:
```
Cd2InAg5Au
1.0
-4.1759 4.1759 5.5657
4.1759 -4.1759 5.5657
4.1759 4.1759 -5.5657
Cd In Ag Au
4 2 10 2
Direct
0.1138 0.6138 0.7276 Cd
0.3862 0.1138 0.5000 Cd
0.6138 0.8862 0.5000 Cd
0.8862 0.3862 0.2724 Cd
0.2500 0.2500 0.0000 In
0.7500 0.7500 0.0000 In
0.0000 0.0000 0.0000 Ag
0.0657 0.1674 0.5000 Ag
0.1674 0.6674 0.1017 Ag
0.3326 0.4343 0.5000 Ag
0.4343 0.9343 0.1017 Ag
0.5000 0.5000 0.0000 Ag
0.5657 0.0657 0.8983 Ag
0.6674 0.5657 0.5000 Ag
0.8326 0.3326 0.8983 Ag
0.9343 0.8326 0.5000 Ag
0.2500 0.7500 0.5000 Au
0.7500 0.2500 0.5000 Au
```

Values from the calculation:
Its space group is I4/mcm, No. 140. As for the crystal system: tetragonal. As for the formation energy: 150 meV per atom.


# 6
Material: Ag6S2F3
Method: DFT, PBE
State: relaxed

The structure in POSCAR format:
```
Ag6S2F3
1.0
4.7765 0.0000 0.0000
-0.0796 4.9241 0.0000
-1.8747 -2.4222 8.5568
Ag S F
6 2 3
Direct
0.1134 0.3866 0.2708 Ag
0.2308 0.7707 0.0529 Ag
0.3658 0.9810 0.6300 Ag
0.6342 0.0190 0.3700 Ag
0.7692 0.2293 0.9471 Ag
0.8866 0.6134 0.7292 Ag
0.0966 0.8981 0.3004 S
0.9034 0.1019 0.6996 S
0.4520 0.6860 0.8634 F
0.5000 0.5000 0.5000 F
0.5480 0.3140 0.1366 F
```

Values from the calculation:
Its space group is P-1, No. 2. As for the crystal system: triclinic. As for the raw formation energy: -575 kJ/mol of formula units.


# 7
Material: Ni2PbS2
Method: DFT, PBE
State: relaxed

The structure in POSCAR format:
```
Ni2PbS2
1.0
7.5649 0.0000 0.0000
0.0000 7.5649 0.0000
0.0000 0.0000 3.0557
Ni Pb S
4 2 4
Direct
0.1098 0.3902 0.0000 Ni
0.3902 0.8902 0.0000 Ni
0.6098 0.1098 0.0000 Ni
0.8902 0.6098 0.0000 Ni
0.0000 0.0000 0.5000 Pb
0.5000 0.5000 0.5000 Pb
0.1343 0.6343 0.5000 S
0.3657 0.1343 0.5000 S
0.6343 0.8657 0.5000 S
0.8657 0.3657 0.5000 S
```

Values from the calculation:
Its space group is P4/mbm, No. 127. As for the crystal system: tetragonal. As for the raw formation energy: 98 kJ/mol of formula units.


# 8
Material: BaPrHo4S8
Method: DFT, PBE
State: relaxed

The structure in POSCAR format:
```
BaPrHo4S8
1.0
4.1069 2.3711 6.8545
-4.1069 2.3711 6.8545
0.0000 -4.7422 6.8545
Ba Pr Ho S
1 1 4 8
Direct
0.0000 0.0000 0.0000 Ba
0.6293 0.6293 0.6293 Pr
0.1225 0.6293 0.6293 Ho
0.2529 0.2529 0.2529 Ho
0.6293 0.1225 0.6293 Ho
0.6293 0.6293 0.1225 Ho
0.3777 0.3777 0.8604 S
0.3777 0.8604 0.3777 S
0.3848 0.3848 0.3848 S
0.4291 0.8673 0.8673 S
0.8586 0.8586 0.8586 S
0.8604 0.3777 0.3777 S
0.8673 0.4291 0.8673 S
0.8673 0.8673 0.4291 S
```

Values from the calculation:
Its space group is R3m, No. 160. As for the crystal system: trigonal. As for the raw formation energy: -2640 kJ/mol of formula units.


# 9
Material: Er2ZnCd3
Method: DFT, PBE
State: relaxed

The structure in POSCAR format:
```
Er2ZnCd3
1.0
0.0000 4.8270 8.3619
3.4314 0.0000 8.3619
3.4314 4.8270 0.0000
Er Zn Cd
4 2 6
Direct
0.2493 0.7507 0.7507 Er
0.2500 0.2500 0.2500 Er
0.7500 0.7500 0.7500 Er
0.7507 0.2493 0.2493 Er
0.1667 0.1667 0.8333 Zn
0.8333 0.8333 0.1667 Zn
0.1590 0.6702 0.3298 Cd
0.3297 0.3297 0.6703 Cd
0.3298 0.8410 0.1590 Cd
0.6702 0.1590 0.8410 Cd
0.6703 0.6703 0.3297 Cd
0.8410 0.3298 0.6702 Cd
```

Values from the calculation:
Its space group is Fmmm, No. 69. As for the crystal system: orthorhombic. As for the formation energy: -299 meV per atom.


# 10
Material: TeRu2Pt
Method: DFT, PBE
State: relaxed

The structure in POSCAR format:
```
TeRu2Pt
1.0
4.1138 0.0000 0.0000
0.0000 4.1138 0.0000
0.0000 0.0000 3.7785
Te Ru Pt
1 2 1
Direct
0.0000 0.0000 0.0000 Te
0.0000 0.5000 0.5000 Ru
0.5000 0.0000 0.5000 Ru
0.5000 0.5000 0.0000 Pt
```

Values from the calculation:
Its space group is P4/mmm, No. 123. As for the crystal system: tetragonal. As for the raw formation energy: 84 kJ/mol of formula units.


# 11
Material: Sr2LiCl
Method: DFT, PBE
State: relaxed

The structure in POSCAR format:
```
Sr2LiCl
1.0
7.3574 0.0000 0.0000
0.0000 4.2447 0.0000
-2.4628 0.0000 9.1957
Sr Li Cl
4 2 2
Direct
0.2437 0.0000 0.2333 Sr
0.2563 0.5000 0.7667 Sr
0.7437 0.5000 0.2333 Sr
0.7563 0.0000 0.7667 Sr
0.0000 0.0000 0.5000 Li
0.5000 0.5000 0.5000 Li
0.0000 0.5000 0.0000 Cl
0.5000 0.0000 0.0000 Cl
```

Values from the calculation:
Its space group is C2/m, No. 12. As for the crystal system: monoclinic. The offset from the most stable computed form comes out at 23.4 meV per atom. As for the raw formation energy: -295 kJ/mol of formula units.


# 12
Material: Ce5Hg4Pb
Method: DFT, PBE
State: relaxed

The structure in POSCAR format:
```
Ce5Hg4Pb
1.0
3.4665 0.0000 0.0000
0.0000 3.4665 0.0000
0.0000 0.0000 22.6546
Ce Hg Pb
5 4 1
Direct
0.0000 0.0000 0.0000 Ce
0.0000 0.0000 0.1981 Ce
0.0000 0.0000 0.3949 Ce
0.0000 0.0000 0.6051 Ce
0.0000 0.0000 0.8019 Ce
0.5000 0.5000 0.0990 Hg
0.5000 0.5000 0.2971 Hg
0.5000 0.5000 0.7029 Hg
0.5000 0.5000 0.9010 Hg
0.5000 0.5000 0.5000 Pb
```

Values from the calculation:
Its space group is P4/mmm, No. 123. As for the crystal system: tetragonal. As for the formation energy: -313 meV per atom.